# BaInRu2 (GGA-PBE, optimized geometry)
data_BaInRu2
_chemical_formula_sum 'Ba1 In1 Ru2'
_space_group_name_H-M_alt 'P 1'
_space_group_IT_number 1
_cell_length_a 4.469
_cell_length_b 4.469
_cell_length_c 6.629
_cell_angle_alpha 70.33
_cell_angle_beta 70.33
_cell_angle_gamma 59.05
loop_
_space_group_symop_operation_xyz
'x,y,z'
loop_
_atom_site_label
_atom_site_type_symbol
_atom_site_fract_x
_atom_site_fract_y
_atom_site_fract_z
Ba1 Ba 0.489 0.489 0.530
Ru1 Ru 0.683 0.683 0.926
Ru2 Ru 0.030 0.030 0.935
In1 In 0.298 0.298 0.109
# Formation enthalpy at 0 K (eV/atom): 0.143
# Space-group type: Cm, No. 8